# CoHg2Br

A geometry-optimized CoHg2Br structure (GGA-PBE, Alexandria).

Geometry as CIF:
```
data_CoHg2Br
_chemical_formula_sum 'Co2 Hg4 Br2'
_cell_length_a 4.6981
_cell_length_b 12.4591
_cell_length_c 3.5406
_cell_angle_alpha 90.00
_cell_angle_beta 90.00
_cell_angle_gamma 90.00
_space_group_name_H-M_alt 'C m m m'
_space_group_IT_number 65
_space_group_name_Hall '-C 2 2'
loop_
_atom_site_label
_atom_site_type_symbol
_atom_site_fract_x
_atom_site_fract_y
_atom_site_fract_z
_atom_site_occupancy
Co1 Co 0.0000 0.0000 0.0000 1
Hg1 Hg 0.0000 0.1700 0.5000 1
Br1 Br 0.0000 0.5000 0.0000 1
```

Output
Calculated volume (Å³/f.u.): 103.6
Formation energy from raw total energies (eV/atom): 0.196
Offset from the most stable computed form (meV/atom): 103
D(E_F) (states/eV per cell): 9.83

---

# Cs3NdU2O9

A geometry-optimized Cs3NdU2O9 structure (GGA-PBE, Alexandria).

Geometry as CIF:
```
data_Cs3NdU2O9
_chemical_formula_sum 'Cs3 Nd1 U2 O9'
_cell_length_a 6.3151
_cell_length_b 6.3151
_cell_length_c 7.7314
_cell_angle_alpha 90.00
_cell_angle_beta 90.00
_cell_angle_gamma 120.00
_space_group_name_H-M_alt 'P -3 m 1'
_space_group_IT_number 164
_space_group_name_Hall '-P 3 2"'
loop_
_atom_site_label
_atom_site_type_symbol
_atom_site_fract_x
_atom_site_fract_y
_atom_site_fract_z
_atom_site_occupancy
Cs1 Cs 0.0000 0.0000 0.0000 1
Cs2 Cs 0.3333 0.6667 0.6624 1
Nd1 Nd 0.0000 0.0000 0.5000 1
U1 U 0.3333 0.6667 0.1615 1
O1 O 0.0000 0.5000 0.0000 1
O2 O 0.1800 0.3600 0.3149 1
```

Output
Calculated volume (Å³/f.u.): 267.0
Formation energy from raw total energies (eV/atom): -2.788
D(E_F) (states/eV per cell): 0.00